Entry 1:
DFT (PBE-GGA) results for crystalline Zr2ReP at its relaxed geometry.

density of states at the Fermi level: 3.54 states/eV per cell
energy: -9.403 eV per atom

Cell: 4.150 3.507 10.041 Å, 90.00 90.00 90.00°
Space group Amm2 (No. 38)
Asymmetric unit:
Zr  0.000  0.000  0.000
Zr  0.500  0.000  0.286
Re  0.000  0.000  0.727
P  0.500  0.000  0.565



Entry 2:
DFT (PBE-GGA) results for crystalline ZrRe4P at its relaxed geometry.

density of states at the Fermi level: 14.97 states/eV per cell
energy: -10.321 eV per atom

Cell: 7.416 7.416 7.416 Å, 90.00 90.00 90.00°
Space group F-43m (No. 216)
Asymmetric unit:
Zr  0.000  0.000  0.000
Re  0.124  0.124  0.376
P  0.250  0.250  0.750



Entry 3:
DFT (PBE-GGA) results for crystalline Zr9Re4P at its relaxed geometry.

density of states at the Fermi level: 27.75 states/eV per cell
energy: -9.846 eV per atom

Cell: 8.5716 8.5716 8.8028 Å, 90.00 90.00 120.00°
Space group P6_3/mmc (No. 194)
Asymmetric unit:
Zr  0.0725  0.5362  0.2500
Zr  0.1978  0.3956  0.5475
Re  0.0000  0.0000  0.0000
Re  0.1064  0.2129  0.2500
P  0.3333  0.6667  0.7500



Entry 4:
DFT (PBE-GGA) results for crystalline Zr2ReP at its relaxed geometry.

density of states at the Fermi level: 2.54 states/eV per cell
energy: -8.919 eV per atom

Cell: 3.498 3.498 5.885 Å, 90.00 90.00 90.00°
Space group P4mm (No. 99)
Asymmetric unit:
Zr  0.000  0.000  0.000
Zr  0.500  0.500  0.306
Re  0.500  0.500  0.766
P  0.000  0.000  0.510



Entry 5:
DFT (PBE-GGA) results for crystalline Zr2ReP at its relaxed geometry.

density of states at the Fermi level: 18.02 states/eV per cell
energy: -8.746 eV per atom

Cell: 6.499 6.499 6.499 Å, 90.00 90.00 90.00°
Space group F-43m (No. 216)
Asymmetric unit:
Zr  0.000  0.000  0.000
Zr  0.250  0.250  0.250
Re  0.000  0.000  0.500
P  0.250  0.250  0.750



Entry 6:
DFT (PBE-GGA) results for crystalline Zr2ReP at its relaxed geometry.

density of states at the Fermi level: 4.08 states/eV per cell
energy: -9.218 eV per atom

Cell: 3.254 4.333 10.521 Å, 90.00 90.00 90.00°
Space group Imm2 (No. 44)
Asymmetric unit:
Zr  0.000  0.000  0.000
Zr  0.000  0.500  0.238
Re  0.000  0.500  0.744
P  0.000  0.000  0.422



Entry 7:
DFT (PBE-GGA) results for crystalline Zr2ReP at its relaxed geometry.

density of states at the Fermi level: 4.81 states/eV per cell
energy: -9.131 eV per atom

Cell: 3.535 4.965 8.185 Å, 90.00 90.00 90.00°
Space group Cmmm (No. 65)
Asymmetric unit:
Zr  0.000  0.000  0.236
Re  0.000  0.500  0.500
P  0.000  0.500  0.000



Entry 8:
DFT (PBE-GGA) results for crystalline Zr2ReP at its relaxed geometry.

density of states at the Fermi level: 6.67 states/eV per cell
energy: -9.171 eV per atom

Cell: 5.841 7.272 3.328 Å, 90.00 90.00 90.00°
Space group Cmmm (No. 65)
Asymmetric unit:
Zr  0.250  0.250  0.000
Re  0.000  0.000  0.500
P  0.000  0.500  0.500



Entry 9:
DFT (PBE-GGA) results for crystalline P3Rh at its relaxed geometry.

density of states at the Fermi level: 5.85 states/eV per cell
energy: -5.957 eV per atom

Cell: 6.9055 6.9055 5.6800 Å, 90.00 90.00 120.00°
Space group P6_3/mmc (No. 194)
Asymmetric unit:
P  0.0000  0.5000  0.0000
P  0.1663  0.3325  0.2500
Rh  0.0000  0.0000  0.0000
Rh  0.3333  0.6667  0.7500



Entry 10:
DFT (PBE-GGA) results for crystalline P3Rh at its relaxed geometry.

density of states at the Fermi level: 1.82 states/eV per cell
energy: -5.812 eV per atom

Cell: 3.292 3.732 10.688 Å, 90.00 90.00 90.00°
Space group Immm (No. 71)
Asymmetric unit:
P  0.000  0.000  0.000
P  0.000  0.500  0.344
Rh  0.000  0.000  0.500



Entry 11:
DFT (PBE-GGA) results for crystalline P3Rh at its relaxed geometry.

density of states at the Fermi level: 4.03 states/eV per cell
energy: -5.512 eV per atom

Cell: 2.848 4.819 8.370 Å, 90.00 90.00 90.00°
Space group Cmmm (No. 65)
Asymmetric unit:
P  0.000  0.000  0.000
P  0.000  0.500  0.261
Rh  0.000  0.000  0.500



Entry 12:
DFT (PBE-GGA) results for crystalline P3Rh at its relaxed geometry.

density of states at the Fermi level: 3.80 states/eV per cell
energy: -6.105 eV per atom

Cell: 4.702 6.910 3.829 Å, 90.00 90.00 90.00°
Space group Pmmn (No. 59, origin choice 2)
Asymmetric unit:
P  0.250  0.026  0.063
P  0.250  0.750  0.375
Rh  0.250  0.250  0.512



Entry 13:
DFT (PBE-GGA) results for crystalline P7Rh at its relaxed geometry.

density of states at the Fermi level: 23.77 states/eV per cell
energy: -4.971 eV per atom

Cell: 7.750 7.750 7.750 Å, 90.00 90.00 90.00°
Space group Fm-3m (No. 225)
Asymmetric unit:
P  0.000  0.000  0.000
P  0.000  0.250  0.250
Rh  0.000  0.000  0.500



Entry 14:
DFT (PBE-GGA) results for crystalline P6Rh7 at its relaxed geometry.

density of states at the Fermi level: 28.81 states/eV per cell
energy: -6.608 eV per atom

Cell: 5.2870 5.2870 24.7648 Å, 90.00 90.00 120.00°
Space group R-3m (No. 166, hexagonal axes)
Asymmetric unit:
P  0.0000  0.0000  0.0889
P  0.0000  0.0000  0.1810
P  0.0000  0.0000  0.3332
Rh  0.0000  0.0000  0.5000
Rh  0.9996  0.4998  0.0720



Entry 15:
DFT (PBE-GGA) results for crystalline P3Rh at its relaxed geometry.

density of states at the Fermi level: 2.78 states/eV per cell
energy: -5.839 eV per atom

Cell: 3.1973 3.1973 6.5694 Å, 90.00 90.00 120.00°
Space group P-6m2 (No. 187)
Asymmetric unit:
P  0.0000  0.0000  0.0000
P  0.3333  0.6667  0.2479
Rh  0.0000  0.0000  0.5000



Entry 16:
DFT (PBE-GGA) results for crystalline P3Rh at its relaxed geometry.

density of states at the Fermi level: 3.18 states/eV per cell
energy: -5.963 eV per atom

Cell: 6.830 3.054 6.729 Å, 90.00 116.37 90.00°
Space group C2/m (No. 12)
Asymmetric unit:
P  0.000  0.000  0.000
P  0.110  0.500  0.277
Rh  0.000  0.000  0.500



Entry 17:
DFT (PBE-GGA) results for crystalline P3Rh at its relaxed geometry.

density of states at the Fermi level: 0.85 states/eV per cell
energy: -6.477 eV per atom

Cell: 8.062 8.062 8.062 Å, 90.00 90.00 90.00°
Space group Im-3 (No. 204)
Asymmetric unit:
P  0.000  0.356  0.140
Rh  0.250  0.250  0.250



Entry 18:
DFT (PBE-GGA) results for crystalline P4Rh5 at its relaxed geometry.

density of states at the Fermi level: 14.94 states/eV per cell
energy: -6.801 eV per atom

Cell: 6.6419 6.6419 6.8177 Å, 90.00 90.00 120.00°
Space group P6_3/mcm (No. 193)
Asymmetric unit:
P  0.0000  0.0000  0.0000
P  0.0000  0.4108  0.2500
Rh  0.0000  0.2539  0.7500
Rh  0.3333  0.6667  0.0000



Entry 19:
DFT (PBE-GGA) results for crystalline P3Rh4 at its relaxed geometry.

density of states at the Fermi level: 9.30 states/eV per cell
energy: -7.225 eV per atom

Cell: 11.793 3.337 10.118 Å, 90.00 90.00 90.00°
Space group Pnma (No. 62)
Asymmetric unit:
P  0.124  0.250  0.241
P  0.127  0.750  0.581
P  0.130  0.250  0.922
Rh  0.028  0.750  0.383
Rh  0.065  0.750  0.095
Rh  0.203  0.250  0.710
Rh  0.230  0.250  0.431



Entry 20:
DFT (PBE-GGA) results for crystalline P3Rh at its relaxed geometry.

density of states at the Fermi level: 3.82 states/eV per cell
energy: -6.031 eV per atom

Cell: 4.869 4.869 4.869 Å, 90.00 90.00 90.00°
Space group Im-3m (No. 229)
Asymmetric unit:
P  0.000  0.000  0.500
Rh  0.000  0.000  0.000



Entry 21:
DFT (PBE-GGA) results for crystalline PRh4 at its relaxed geometry.

density of states at the Fermi level: 17.43 states/eV per cell
energy: -6.521 eV per atom

Cell: 3.471 3.471 13.142 Å, 90.00 90.00 90.00°
Space group I4/mmm (No. 139)
Asymmetric unit:
P  0.000  0.000  0.000
Rh  0.000  0.000  0.403
Rh  0.000  0.500  0.250



Entry 22:
DFT (PBE-GGA) results for crystalline P3Rh at its relaxed geometry.

density of states at the Fermi level: 2.99 states/eV per cell
energy: -5.646 eV per atom

Cell: 2.950 2.950 6.439 Å, 90.00 90.00 90.00°
Space group P4/mmm (No. 123)
Asymmetric unit:
P  0.000  0.000  0.000
P  0.500  0.500  0.263
Rh  0.000  0.000  0.500



Entry 23:
DFT (PBE-GGA) results for crystalline P3Rh at its relaxed geometry.

density of states at the Fermi level: 1.89 states/eV per cell
energy: -5.433 eV per atom

Cell: 3.864 3.864 3.864 Å, 90.00 90.00 90.00°
Space group Pm-3m (No. 221)
Asymmetric unit:
P  0.000  0.000  0.500
Rh  0.500  0.500  0.500



Entry 24:
DFT (PBE-GGA) results for crystalline P3Rh4 at its relaxed geometry.

density of states at the Fermi level: 7.71 states/eV per cell
energy: -6.137 eV per atom

Cell: 4.6796 4.6796 5.1644 Å, 90.00 90.00 120.00°
Space group P6/mmm (No. 191)
Asymmetric unit:
P  0.0000  0.5000  0.0000
Rh  0.0000  0.0000  0.2570
Rh  0.3333  0.6667  0.5000